Entry 1:
Cu2IrRu | PBE | optimized geometry

ΔE_f, eV/atom: 0.32
Distance to the lowest polymorph of the same formula, eV/atom: 0.243
Final energy, hartree per atom: -0.2302
Density of states at the Fermi level, states/eV/f.u.: 5.6

Cell lengths 3.743, 3.743, 7.597 Å; angles 90.00, 90.00, 90.00 degrees
Space group I4/mmm (No. 139)
Inequivalent atoms, fractional coordinates:
Cu  0.000  0.500  0.250 x4
Ir  0.000  0.000  0.000 x2
Ru  0.000  0.000  0.500 x2

=====

Entry 2:
CuIr2Ru | PBE | optimized geometry

ΔE_f, eV/atom: 0.39
Distance to the lowest polymorph of the same formula, eV/atom: 0.349
Final energy, hartree per atom: -0.2713
Density of states at the Fermi level, states/eV/f.u.: 6.4

Cell lengths 6.092, 6.092, 6.092 Å; angles 90.00, 90.00, 90.00 degrees
Space group F-43m (No. 216)
Inequivalent atoms, fractional coordinates:
Cu  0.000  0.000  0.000 x4
Ir  0.000  0.000  0.500 x4
Ir  0.250  0.250  0.750 x4
Ru  0.250  0.250  0.250 x4

=====

Entry 3:
CuIrRu | PBE | optimized geometry

ΔE_f, eV/atom: 0.09
Distance to the lowest polymorph of the same formula, eV/atom: 0.052
Final energy, hartree per atom: -0.2689
Density of states at the Fermi level, states/eV/f.u.: 1.9

Cell lengths 2.6990, 2.6990, 6.5215 Å; angles 90.00, 90.00, 120.00 degrees
Space group P3m1 (No. 156)
Inequivalent atoms, fractional coordinates:
Cu  0.0000  0.0000  0.0000 x1
Ir  0.6667  0.3333  0.3364 x1
Ru  0.3333  0.6667  0.6670 x1

=====

Entry 4:
CuIr3Ru | PBE | optimized geometry

ΔE_f, eV/atom: 1.83
Distance to the lowest polymorph of the same formula, eV/atom: 0.000
Final energy, hartree per atom: -0.2265
Density of states at the Fermi level, states/eV/f.u.: 6.8

Cell lengths 4.426, 4.426, 4.426 Å; angles 90.00, 90.00, 90.00 degrees
Space group Pm-3m (No. 221)
Inequivalent atoms, fractional coordinates:
Cu  0.000  0.000  0.000 x1
Ir  0.000  0.000  0.500 x3
Ru  0.500  0.500  0.500 x1

=====

Entry 5:
Cu2IrRu | PBE | optimized geometry

ΔE_f, eV/atom: 0.28
Distance to the lowest polymorph of the same formula, eV/atom: 0.209
Final energy, hartree per atom: -0.2315
Density of states at the Fermi level, states/eV/f.u.: 4.4

Cell lengths 2.701, 4.554, 8.895 Å; angles 90.00, 90.00, 90.00 degrees
Space group Cmm2 (No. 35)
Inequivalent atoms, fractional coordinates:
Cu  0.000  0.000  0.000 x2
Cu  0.000  0.500  0.235 x2
Ir  0.000  0.000  0.489 x2
Ru  0.000  0.500  0.746 x2

=====

Entry 6:
CuIr2Ru | PBE | optimized geometry

ΔE_f, eV/atom: 0.35
Distance to the lowest polymorph of the same formula, eV/atom: 0.311
Final energy, hartree per atom: -0.2727
Density of states at the Fermi level, states/eV/f.u.: 5.7

Cell lengths 2.722, 4.532, 4.607 Å; angles 90.00, 90.00, 90.00 degrees
Space group Pmmm (No. 47)
Inequivalent atoms, fractional coordinates:
Cu  0.000  0.000  0.000 x1
Ir  0.000  0.500  0.500 x1
Ir  0.500  0.500  0.000 x1
Ru  0.500  0.000  0.500 x1

=====

Entry 7:
Cu2IrRu | PBE | optimized geometry

ΔE_f, eV/atom: 0.23
Distance to the lowest polymorph of the same formula, eV/atom: 0.159
Final energy, hartree per atom: -0.2333
Density of states at the Fermi level, states/eV/f.u.: 4.4

Cell lengths 2.879, 4.302, 8.483 Å; angles 90.00, 90.00, 90.00 degrees
Space group Imm2 (No. 44)
Inequivalent atoms, fractional coordinates:
Cu  0.000  0.000  0.000 x2
Cu  0.000  0.500  0.269 x2
Ir  0.000  0.000  0.514 x2
Ru  0.000  0.500  0.758 x2

=====

Entry 8:
Cu2IrRu | PBE | optimized geometry

ΔE_f, eV/atom: 0.14
Distance to the lowest polymorph of the same formula, eV/atom: 0.067
Final energy, hartree per atom: -0.2367
Density of states at the Fermi level, states/eV/f.u.: 4.0

Cell lengths 8.770, 2.708, 4.562 Å; angles 90.00, 99.63, 90.00 degrees
Space group Cm (No. 8)
Inequivalent atoms, fractional coordinates:
Cu  0.000  0.000  0.000 x2
Cu  0.250  0.000  0.801 x2
Ir  0.251  0.500  0.301 x2
Ru  0.497  0.000  0.498 x2

=====

Entry 9:
CuIr2Ru | PBE | optimized geometry

ΔE_f, eV/atom: 0.12
Distance to the lowest polymorph of the same formula, eV/atom: 0.077
Final energy, hartree per atom: -0.2813
Density of states at the Fermi level, states/eV/f.u.: 6.3

Cell lengths 2.7190, 2.7190, 26.1615 Å; angles 90.00, 90.00, 120.00 degrees
Space group R3m (No. 160, hexagonal axes)
Inequivalent atoms, fractional coordinates:
Cu  0.0000  0.0000  0.0000 x3
Ir  0.0000  0.0000  0.5015 x3
Ir  0.0000  0.0000  0.7488 x3
Ru  0.0000  0.0000  0.2508 x3

=====

Entry 10:
CuIr2Ru | PBE | optimized geometry

ΔE_f, eV/atom: 0.30
Distance to the lowest polymorph of the same formula, eV/atom: 0.260
Final energy, hartree per atom: -0.2746
Density of states at the Fermi level, states/eV/f.u.: 4.5

Cell lengths 2.823, 4.441, 8.862 Å; angles 90.00, 90.00, 90.00 degrees
Space group Imm2 (No. 44)
Inequivalent atoms, fractional coordinates:
Cu  0.000  0.000  0.000 x2
Ir  0.000  0.000  0.502 x2
Ir  0.000  0.500  0.733 x2
Ru  0.000  0.500  0.267 x2

=====

Entry 11:
CuIrRu | PBE | optimized geometry

ΔE_f, eV/atom: 0.12
Distance to the lowest polymorph of the same formula, eV/atom: 0.076
Final energy, hartree per atom: -0.2680
Density of states at the Fermi level, states/eV/f.u.: 3.2

Cell lengths 2.725, 2.725, 11.082 Å; angles 90.00, 90.00, 90.00 degrees
Space group I4mm (No. 107)
Inequivalent atoms, fractional coordinates:
Cu  0.000  0.000  0.000 x2
Ir  0.000  0.000  0.670 x2
Ru  0.000  0.000  0.331 x2

=====

Entry 12:
Cu2IrRu | PBE | optimized geometry

ΔE_f, eV/atom: 0.80
Distance to the lowest polymorph of the same formula, eV/atom: 0.726
Final energy, hartree per atom: -0.2125
Density of states at the Fermi level, states/eV/f.u.: 5.1

Cell lengths 6.829, 6.829, 4.992 Å; angles 90.00, 90.00, 90.00 degrees
Space group I-42d (No. 122)
Inequivalent atoms, fractional coordinates:
Cu  0.249  0.750  0.125 x8
Ir  0.000  0.000  0.000 x4
Ru  0.000  0.000  0.500 x4

=====

Entry 13:
CuIr4Ru | PBE | optimized geometry

ΔE_f, eV/atom: 0.66
Final energy, hartree per atom: -0.2749
Density of states at the Fermi level, states/eV/f.u.: 9.5

Cell lengths 7.242, 7.242, 7.242 Å; angles 90.00, 90.00, 90.00 degrees
Space group F-43m (No. 216)
Inequivalent atoms, fractional coordinates:
Cu  0.000  0.000  0.000 x4
Ir  0.125  0.125  0.625 x16
Ru  0.250  0.250  0.250 x4

=====

Entry 14:
Cu2IrRu | PBE | optimized geometry

ΔE_f, eV/atom: 0.32
Distance to the lowest polymorph of the same formula, eV/atom: 0.245
Final energy, hartree per atom: -0.2302
Density of states at the Fermi level, states/eV/f.u.: 6.0

Cell lengths 2.650, 3.832, 5.248 Å; angles 90.00, 90.00, 90.00 degrees
Space group Pmmm (No. 47)
Inequivalent atoms, fractional coordinates:
Cu  0.000  0.000  0.250 x2
Ir  0.500  0.500  0.000 x1
Ru  0.500  0.500  0.500 x1

=====

Entry 15:
CuIrRu | PBE | optimized geometry

ΔE_f, eV/atom: 0.29
Distance to the lowest polymorph of the same formula, eV/atom: 0.243
Final energy, hartree per atom: -0.2618
Density of states at the Fermi level, states/eV/f.u.: 4.0

Cell lengths 4.2168, 4.2168, 2.6761 Å; angles 90.00, 90.00, 120.00 degrees
Space group P3m1 (No. 156)
Inequivalent atoms, fractional coordinates:
Cu  0.0000  0.0000  0.0000 x1
Ir  0.6667  0.3333  0.2158 x1
Ru  0.3333  0.6667  0.7046 x1

=====

Entry 16:
CuIrRu | PBE | optimized geometry

ΔE_f, eV/atom: 0.10
Distance to the lowest polymorph of the same formula, eV/atom: 0.062
Final energy, hartree per atom: -0.2685
Density of states at the Fermi level, states/eV/f.u.: 2.9

Cell lengths 2.737, 3.744, 7.936 Å; angles 90.00, 90.00, 90.00 degrees
Space group Imm2 (No. 44)
Inequivalent atoms, fractional coordinates:
Cu  0.000  0.000  0.000 x2
Ir  0.000  0.000  0.332 x2
Ru  0.000  0.000  0.668 x2

=====

Entry 17:
Cu2IrRu | PBE | optimized geometry

ΔE_f, eV/atom: 0.27
Distance to the lowest polymorph of the same formula, eV/atom: 0.195
Final energy, hartree per atom: -0.2320
Density of states at the Fermi level, states/eV/f.u.: 4.2

Cell lengths 2.640, 4.472, 4.609 Å; angles 90.00, 90.96, 90.00 degrees
Space group P2/m (No. 10)
Inequivalent atoms, fractional coordinates:
Cu  0.237  0.000  0.248 x2
Ir  0.000  0.500  0.500 x1
Ru  0.500  0.500  0.000 x1

=====

Entry 18:
CuIr2Ru | PBE | optimized geometry

ΔE_f, eV/atom: 0.40
Distance to the lowest polymorph of the same formula, eV/atom: 0.358
Final energy, hartree per atom: -0.2710
Density of states at the Fermi level, states/eV/f.u.: 6.4

Cell lengths 6.108, 6.108, 6.108 Å; angles 90.00, 90.00, 90.00 degrees
Space group Fm-3m (No. 225)
Inequivalent atoms, fractional coordinates:
Cu  0.000  0.000  0.000 x4
Ir  0.250  0.250  0.250 x8
Ru  0.000  0.000  0.500 x4

=====

Entry 19:
CuIr2Ru | PBE | optimized geometry

ΔE_f, eV/atom: 0.10
Distance to the lowest polymorph of the same formula, eV/atom: 0.063
Final energy, hartree per atom: -0.2819
Density of states at the Fermi level, states/eV/f.u.: 3.7

Cell lengths 2.721, 3.810, 5.340 Å; angles 90.00, 90.10, 90.00 degrees
Space group Pm (No. 6)
Inequivalent atoms, fractional coordinates:
Cu  0.000  0.000  0.000 x1
Ir  0.000  0.000  0.506 x1
Ir  0.499  0.500  0.240 x1
Ru  0.501  0.500  0.750 x1

=====

Entry 20:
Cu2IrRu | PBE | optimized geometry

ΔE_f, eV/atom: 0.32
Distance to the lowest polymorph of the same formula, eV/atom: 0.247
Final energy, hartree per atom: -0.2301
Density of states at the Fermi level, states/eV/f.u.: 6.0

Cell lengths 5.262, 7.646, 2.649 Å; angles 90.00, 90.00, 90.00 degrees
Space group Cmmm (No. 65)
Inequivalent atoms, fractional coordinates:
Cu  0.250  0.250  0.000 x4
Ir  0.000  0.000  0.500 x2
Ru  0.000  0.500  0.500 x2